No. 1
VASP calculation (meta-GGA SCAN) on a PBEsol-optimized structure of AsIrSe.

Its energy relative to the elements, uncorrected is -0.42 eV per formula unit. The crystal system is trigonal. The raw total energy is -37.263 eV/atom.

a b c (Å): 3.5880 3.5880 4.9895
angles (deg): 90.00 90.00 120.00
With the nearest neighbours (Å) after each atom.
Element x y z (fractional)
As: 0.0000 0.0000 0.9372  3 Ir 2.45
Ir: 0.3333 0.6667 0.6756  3 As 2.45, 3 Se 2.52
Se: 0.6667 0.3333 0.3873  3 Ir 2.52

=====

No. 2
VASP calculation (meta-GGA SCAN) on a PBEsol-optimized structure of Mo2IrBr.

Its energy relative to the elements, uncorrected is 2.38 eV per formula unit. Its offset from the most stable computed form is 217 meV per atom. The crystal system is tetragonal. The raw total energy is -39.486 eV/atom.

a b c (Å): 2.8506 4.6200 4.6200
angles (deg): 90.00 90.00 90.00
With the nearest neighbours (Å) after each atom.
Element x y z (fractional)
Mo: 0.0000 0.5000 0.0000  4 Ir 2.71, 4 Br 2.71, 2 Mo 2.85
Mo: 0.0000 0.0000 0.5000  4 Br 2.71, 4 Ir 2.71, 2 Mo 2.85
Ir: 0.5000 0.5000 0.5000  8 Mo 2.71, 2 Ir 2.85
Br: 0.5000 0.0000 0.0000  8 Mo 2.71, 2 Br 2.85

=====

No. 3
VASP calculation (meta-GGA SCAN) on a PBEsol-optimized structure of KMnAs4.

The formation energy comes out at 0.120 eV per atom. The crystal system is cubic. The raw total energy is -17.771 eV/atom.

a b c (Å): 5.6370 5.6370 5.6370
angles (deg): 60.00 60.00 60.00
With the nearest neighbours (Å) after each atom.
Element x y z (fractional)
As: 0.3726 0.3726 0.3726  6 As 2.77-2.87
As: 0.3726 0.3726 0.8821  6 As 2.77-2.87
As: 0.8821 0.3726 0.3726  6 As 2.77-2.87
As: 0.3726 0.8821 0.3726  6 As 2.77-2.87
K: 0.7500 0.7500 0.7500  12 As 3.31, 4 Mn 3.45
Mn: 0.0000 0.0000 0.0000  12 As 3.30, 4 K 3.45

=====

No. 4
VASP calculation (meta-GGA SCAN) on a PBEsol-optimized structure of ZnSCl2F.

Its energy relative to the elements, uncorrected is -0.27 eV per formula unit. The crystal system is tetragonal. The raw total energy is -8.581 eV/atom.

a b c (Å): 4.6462 4.6462 4.8891
angles (deg): 90.00 90.00 90.00
With the nearest neighbours (Å) after each atom.
Element x y z (fractional)
Zn: 0.0000 0.0000 0.0000  4 Cl 2.32, 2 S 2.44
F: 0.5000 0.5000 0.5000  4 S 3.29, 8 Cl 3.37
S: 0.0000 0.0000 0.5000  2 Zn 2.44
Cl: 0.0000 0.5000 0.0000  2 Zn 2.32
Cl: 0.5000 0.0000 0.0000  2 Zn 2.32

=====

No. 5
VASP calculation (meta-GGA SCAN) on a PBEsol-optimized structure of In3CSe.

Its energy relative to the elements, uncorrected is 8.25 eV per formula unit. The crystal system is cubic. The raw total energy is -24.417 eV/atom.

a b c (Å): 5.4153 5.4153 5.4153
angles (deg): 90.00 90.00 90.00
With the nearest neighbours (Å) after each atom.
Element x y z (fractional)
C: 0.5000 0.5000 0.5000  12 In 3.83
Se: 0.0000 0.0000 0.0000  6 In 2.71
In: 0.0000 0.5000 0.0000  2 Se 2.71
In: 0.0000 0.0000 0.5000  2 Se 2.71
In: 0.5000 0.0000 0.0000  2 Se 2.71

=====

No. 6
VASP calculation (meta-GGA SCAN) on a PBEsol-optimized structure of GdBO3.

Its energy relative to the elements, uncorrected is -16.23 eV per formula unit. The crystal system is orthorhombic. The raw total energy is -20.234 eV/atom.

a b c (Å): 3.9084 3.9084 8.6239
angles (deg): 90.00 90.00 113.18
With the nearest neighbours (Å) after each atom.
Element x y z (fractional)
B: 0.4938 0.7666 0.7500  3 O 1.37-1.39
B: 0.7666 0.4938 0.2500  3 O 1.37-1.39
Gd: 0.0609 0.0609 0.0000  6 O 2.27-2.36
Gd: 0.0609 0.0609 0.5000  6 O 2.27-2.36
O: 0.3283 0.6677 0.8950  1 B 1.39
O: 0.3283 0.6677 0.6050  1 B 1.39
O: 0.8638 0.9999 0.7500  1 B 1.37
O: 0.6677 0.3283 0.3950  1 B 1.39
O: 0.6677 0.3283 0.1050  1 B 1.39
O: 0.9999 0.8638 0.2500  1 B 1.37

=====

No. 7
VASP calculation (meta-GGA SCAN) on a PBEsol-optimized structure of NaLaP2O7.

Its energy relative to the elements, uncorrected is -32.58 eV per formula unit. The crystal system is orthorhombic. The raw total energy is -13.120 eV/atom.

a b c (Å): 5.2953 8.6370 12.7443
angles (deg): 90.00 90.00 90.00
With the nearest neighbours (Å) after each atom.
Element x y z (fractional)
Na: 0.2500 0.6211 0.5779  3 O 2.29-2.46
Na: 0.7500 0.8789 0.0779  3 O 2.29-2.46
Na: 0.7500 0.3789 0.4221  3 O 2.29-2.46
Na: 0.2500 0.1211 0.9221  3 O 2.29-2.46
La: 0.2500 0.1837 0.2363  7 O 2.38-2.61
La: 0.2500 0.6837 0.2637  7 O 2.38-2.61
La: 0.7500 0.8163 0.7637  7 O 2.38-2.61
La: 0.7500 0.3163 0.7363  7 O 2.38-2.61
P: 0.2500 0.5143 0.8161  4 O 1.51-1.61
P: 0.7500 0.4857 0.1839  4 O 1.51-1.61
P: 0.2500 0.2627 0.5340  4 O 1.52-1.62
P: 0.7500 0.2373 0.0340  4 O 1.52-1.62
P: 0.2500 0.0143 0.6839  4 O 1.51-1.61
P: 0.7500 0.7373 0.4660  4 O 1.52-1.62
P: 0.2500 0.7627 0.9660  4 O 1.52-1.62
P: 0.7500 0.9857 0.3161  4 O 1.51-1.61
O: 0.7500 0.1608 0.3203  1 P 1.51
O: 0.7500 0.7380 0.5849  1 P 1.52
O: 0.2500 0.8392 0.6797  1 P 1.51
O: 0.0060 0.0711 0.7368  1 P 1.54
O: 0.9940 0.9289 0.2632  1 P 1.54
O: 0.9940 0.4289 0.2368  1 P 1.54
O: 0.5122 0.1625 0.0794  1 P 1.53
O: 0.4940 0.0711 0.7368  1 P 1.54
O: 0.4940 0.5711 0.7632  1 P 1.54
O: 0.0060 0.5711 0.7632  1 P 1.54
O: 0.2500 0.3392 0.8203  1 P 1.51
O: 0.9878 0.6625 0.4206  1 P 1.53
O: 0.9878 0.1625 0.0794  1 P 1.53
O: 0.2500 0.0806 0.5660  2 P 1.61-1.62
O: 0.4878 0.3375 0.5794  1 P 1.53
O: 0.7500 0.4194 0.0660  2 P 1.61-1.62
O: 0.0122 0.8375 0.9206  1 P 1.53
O: 0.2500 0.5806 0.9340  2 P 1.61-1.62
O: 0.5060 0.9289 0.2632  1 P 1.54
O: 0.4878 0.8375 0.9206  1 P 1.53
O: 0.2500 0.2620 0.4151  1 P 1.52
O: 0.5122 0.6625 0.4206  1 P 1.53
O: 0.7500 0.9194 0.4340  2 P 1.61-1.62
O: 0.7500 0.2380 0.9151  1 P 1.52
O: 0.7500 0.6608 0.1797  1 P 1.51
O: 0.5060 0.4289 0.2368  1 P 1.54
O: 0.2500 0.7620 0.0849  1 P 1.52
O: 0.0122 0.3375 0.5794  1 P 1.53

=====

No. 8
VASP calculation (meta-GGA SCAN) on a PBEsol-optimized structure of Li4Cr5Co3O16.

Its energy relative to the elements, uncorrected is -58.81 eV per formula unit. The crystal system is monoclinic. The raw total energy is -11.139 eV/atom.

a b c (Å): 5.6088 5.6088 9.1652
angles (deg): 90.21 90.21 60.53
With the nearest neighbours (Å) after each atom.
Element x y z (fractional)
Cr: 0.8281 0.3450 0.7873  6 O 1.89-1.94
Cr: 0.6682 0.6681 0.5060  6 O 1.88-1.99
Cr: 0.3450 0.8281 0.7873  6 O 1.89-1.94
Cr: 0.1738 0.1738 0.2874  6 O 1.87-1.94
Cr: 0.3353 0.3353 0.0117  6 O 1.92-1.97
Co: 0.8273 0.8273 0.7873  6 O 1.87-1.95
Co: 0.6583 0.1686 0.2879  6 O 1.87-1.93
Co: 0.1687 0.6583 0.2879  6 O 1.87-1.93
O: 0.8347 0.3338 0.3976  2 Cr 1.91-1.94, 1 Li 1.91, 1 Co 1.93
O: 0.5215 0.5215 0.6570  1 Li 1.87, 3 Cr 1.92-1.99
O: 0.6668 0.6668 0.9024  1 Co 1.88, 2 Cr 1.89, 1 Li 1.93
O: 0.9977 0.9977 0.6935  1 Li 1.75, 1 Co 1.87, 2 Cr 1.90
O: 0.9978 0.9977 0.1949  1 Li 1.74, 2 Co 1.87, 1 Cr 1.90
O: 0.3338 0.8347 0.3976  2 Cr 1.91-1.94, 1 Li 1.91, 1 Co 1.93
O: 0.9590 0.5230 0.6574  1 Li 1.90, 1 Co 1.90, 2 Cr 1.92-1.98
O: 0.5230 0.9590 0.6574  1 Li 1.90, 1 Co 1.90, 2 Cr 1.92-1.98
O: 0.1676 0.1676 0.8976  3 Cr 1.93-1.94, 1 Li 1.95
O: 0.8312 0.8312 0.3957  1 Li 1.86, 1 Cr 1.88, 2 Co 1.92
O: 0.4801 0.0424 0.1577  1 Li 1.87, 1 Co 1.90, 2 Cr 1.92-1.96
O: 0.0424 0.4800 0.1577  1 Li 1.87, 1 Co 1.90, 2 Cr 1.92-1.96
O: 0.3371 0.3371 0.3978  2 Co 1.87, 1 Cr 1.87, 1 Li 1.91
O: 0.6646 0.1684 0.8974  1 Li 1.88, 2 Cr 1.92-1.94, 1 Co 1.95
O: 0.4785 0.4785 0.1650  2 Co 1.89, 1 Li 1.90, 1 Cr 1.97
O: 0.1685 0.6646 0.8974  1 Li 1.88, 2 Cr 1.92-1.94, 1 Co 1.95
Li: 0.6677 0.6677 0.1130  4 O 1.87-1.93
Li: 0.9935 0.9935 0.0046  3 O 1.74-1.88
Li: 0.9954 0.9953 0.5020  4 O 1.75-1.91
Li: 0.3346 0.3346 0.6056  4 O 1.87-1.91